Record 1
This record from Alexandria describes a geometry-optimized ScCd4Re structure. The functional is PBE-GGA.

Values from the calculation:
Raw total energy: -3.361 eV/atom
DOS at the Fermi energy: 6.596 states/eV per cell
Crystal system: cubic
V: 19.70 Å³ per atom

```
6
Lattice="0.0000 3.8951 3.8951 3.8951 0.0000 3.8951 3.8951 3.8951 0.0000" Properties=species:S:1:pos:R:3 pbc="T T T"
Sc 0.0000 0.0000 0.0000
Cd 2.9251 4.8651 4.8651
Cd 4.8651 4.8651 2.9251
Cd 4.8651 2.9251 4.8651
Cd 2.9251 2.9251 2.9251
Re 5.8427 5.8427 5.8427
```


Record 2
This record from Alexandria describes a geometry-optimized Nb2Si2Au structure. The functional is PBE-GGA.

Values from the calculation:
Raw total energy: -7.231 eV/atom
DOS at the Fermi energy: 7.035 states/eV per cell
Crystal system: tetragonal
V: 15.90 Å³ per atom
Uncorrected formation energy: -378 meV/atom

```
10
Lattice="6.6345 0.0000 0.0000 0.0000 6.6345 0.0000 0.0000 0.0000 3.6133" Properties=species:S:1:pos:R:3 pbc="T T T"
Nb 1.1467 4.4639 1.8067
Nb 4.4639 5.4878 1.8067
Nb 5.4878 2.1705 1.8067
Nb 2.1705 1.1467 1.8067
Au 0.0000 0.0000 0.0000
Au 3.3172 3.3172 0.0000
Si 2.4817 5.7990 0.0000
Si 5.7990 4.1527 0.0000
Si 4.1527 0.8355 0.0000
Si 0.8355 2.4817 0.0000
```


Record 3
This record from Alexandria describes a geometry-optimized Pm3Dy4Pu structure. The functional is PBE-GGA.

Values from the calculation:
Raw total energy: -5.723 eV/atom
DOS at the Fermi energy: 16.048 states/eV per cell
Crystal system: orthorhombic
V: 32.29 Å³ per atom

```
8
Lattice="3.3455 0.0000 -0.8097 -1.1964 10.4613 -4.9433 0.2902 -2.4083 8.5154" Properties=species:S:1:pos:R:3 pbc="T T T"
Dy 1.7371 3.3373 -0.1390
Dy 0.7022 4.7157 2.9014
Dy 1.3059 -0.5650 5.3958
Dy 1.1334 8.6180 -2.6334
Pu 1.6727 0.0000 -0.4048
Pm -0.5982 5.2306 -2.4716
Pm 1.7961 6.7225 0.1047
Pm 0.6432 1.3305 2.6577
```


Record 4
This record from Alexandria describes a geometry-optimized Tl2ZnPt2 structure. The functional is PBE-GGA.

Values from the calculation:
Excess energy over the best structure of this formula in the dataset: 0.000 eV/atom
Raw total energy: -3.681 eV/atom
DOS at the Fermi energy: 3.804 states/eV per cell
Crystal system: tetragonal
V: 20.00 Å³ per atom

```
10
Lattice="6.9576 0.0000 0.0000 0.0000 6.9576 0.0000 0.0000 0.0000 4.1323" Properties=species:S:1:pos:R:3 pbc="T T T"
Tl 1.1334 4.6121 2.0662
Tl 4.6121 5.8242 2.0662
Tl 5.8242 2.3454 2.0662
Tl 2.3454 1.1334 2.0662
Zn 0.0000 0.0000 0.0000
Zn 3.4788 3.4788 0.0000
Pt 2.4605 5.9393 0.0000
Pt 5.9393 4.4971 0.0000
Pt 4.4971 1.0183 0.0000
Pt 1.0183 2.4605 0.0000
```